# 1
Computed, not measured: a relaxed structure of MnVB at the PBE level of DFT.

Cell lengths 5.135, 5.135, 4.201 Å; angles 100.66, 100.66, 32.68 degrees
Positions (direct):
Mn 0.079 0.079 0.287
Mn 0.921 0.921 0.713
V 0.363 0.363 0.165
V 0.637 0.637 0.835
B 0.269 0.269 0.625
B 0.731 0.731 0.375

Output
DOS(E_F) in states/eV per atom: 0.665
SG: C2/m (12)
Excess energy over the best structure of this formula in the dataset in meV per atom: 0
Total DFT energy (no corrections) in eV per atom: -8.8144
DFT formation energy in eV/atom: -0.493


# 2
Computed, not measured: a relaxed structure of LiPb at the PBE level of DFT.

Cell lengths 5.662, 5.851, 11.344 Å; angles 90.00, 90.00, 90.00 degrees
Positions (direct):
Li 0.157 0.037 0.310
Li 0.197 0.663 0.557
Li 0.303 0.337 0.057
Li 0.343 0.963 0.810
Li 0.657 0.463 0.690
Li 0.697 0.837 0.443
Li 0.803 0.163 0.943
Li 0.843 0.537 0.190
Pb 0.158 0.449 0.801
Pb 0.165 0.851 0.057
Pb 0.335 0.149 0.557
Pb 0.342 0.551 0.301
Pb 0.658 0.051 0.199
Pb 0.665 0.649 0.943
Pb 0.835 0.351 0.443
Pb 0.842 0.949 0.699

Output
DOS(E_F) in states/eV per atom: 0.411
SG: P2_12_12_1 (19)
Total DFT energy (no corrections) in eV per atom: -3.0277
DFT formation energy in eV/atom: -0.217


# 3
Computed, not measured: a relaxed structure of Ce2TaN5 at the PBE level of DFT.

Cell lengths 6.344, 6.344, 10.289 Å; angles 90.00, 90.00, 141.45 degrees
Positions (direct):
Ce 0.134 0.866 0.552
Ce 0.134 0.866 0.948
Ce 0.866 0.134 0.052
Ce 0.866 0.134 0.448
Ta 0.226 0.774 0.250
Ta 0.774 0.226 0.750
N 0.060 0.940 0.183
N 0.060 0.940 0.317
N 0.229 0.771 0.750
N 0.301 0.699 0.073
N 0.301 0.699 0.427
N 0.699 0.301 0.573
N 0.699 0.301 0.927
N 0.771 0.229 0.250
N 0.940 0.060 0.683
N 0.940 0.060 0.817

Output
DOS(E_F) in states/eV per atom: 0.368
Uncorrected formation energy in eV per atom: -1.03
SG: Cmcm (63)
Total DFT energy (no corrections) in eV per atom: -9.2023


# 4
Computed, not measured: a relaxed structure of Sr2InSb2 at the PBE level of DFT.

Cell lengths 9.610, 9.610, 3.736 Å; angles 90.00, 90.00, 90.00 degrees
Positions (direct):
Sr 0.136 0.364 0.000
Sr 0.364 0.864 0.000
Sr 0.636 0.136 0.000
Sr 0.864 0.636 0.000
In 0.000 0.000 0.000
In 0.500 0.500 0.000
Sb 0.165 0.665 0.500
Sb 0.335 0.165 0.500
Sb 0.665 0.835 0.500
Sb 0.835 0.335 0.500

Output
DOS(E_F) in states/eV per atom: 0.228
Uncorrected formation energy in eV per atom: -0.57
SG: P4/mbm (127)
Excess energy over the best structure of this formula in the dataset in meV per atom: 160
Total DFT energy (no corrections) in eV per atom: -3.4409


# 5
Computed, not measured: a relaxed structure of Rb4TeN12 at the PBE level of DFT.

Cell lengths 8.382, 8.382, 8.382 Å; angles 109.47, 109.47, 109.47 degrees
Positions (direct):
Rb 0.000 0.000 0.500
Rb 0.000 0.500 0.000
Rb 0.500 0.000 0.000
Rb 0.500 0.500 0.500
Te 0.000 0.000 0.000
N 0.103 0.661 0.441
N 0.220 0.661 0.559
N 0.339 0.441 0.780
N 0.339 0.559 0.897
N 0.441 0.103 0.661
N 0.441 0.780 0.339
N 0.559 0.220 0.661
N 0.559 0.897 0.339
N 0.661 0.441 0.103
N 0.661 0.559 0.220
N 0.780 0.339 0.441
N 0.897 0.339 0.559

Output
DOS(E_F) in states/eV per atom: 0.545
Uncorrected formation energy in eV per atom: -0.18
SG: Im-3 (204)
Total DFT energy (no corrections) in eV per atom: -6.4739


# 6
Computed, not measured: a relaxed structure of VFeCuRu at the PBE level of DFT.

Cell lengths 4.160, 4.160, 4.160 Å; angles 60.00, 60.00, 60.00 degrees
Positions (direct):
V 0.000 0.000 0.000
Fe 0.250 0.250 0.250
Cu 0.500 0.500 0.500
Ru 0.750 0.750 0.750

Output
DOS(E_F) in states/eV per atom: 1.043
SG: F-43m (216)
Total DFT energy (no corrections) in eV per atom: -7.7070
DFT formation energy in eV/atom: 0.031


# 7
Computed, not measured: a relaxed structure of KTl2SbTe4 at the PBE level of DFT.

Cell lengths 9.275, 9.275, 9.275 Å; angles 121.06, 119.45, 89.56 degrees
Positions (direct):
K 0.500 0.000 0.000
K 0.500 0.500 0.500
Tl 0.000 0.000 0.000
Tl 0.000 0.000 0.500
Tl 0.000 0.500 0.000
Tl 0.500 0.000 0.500
Sb 0.000 0.500 0.500
Sb 0.500 0.500 0.000
Te 0.215 0.739 0.476
Te 0.237 0.261 0.976
Te 0.242 0.261 0.519
Te 0.242 0.723 0.981
Te 0.758 0.277 0.019
Te 0.758 0.739 0.481
Te 0.763 0.739 0.024
Te 0.785 0.261 0.524

Output
DOS(E_F) in states/eV per atom: 0.342
Uncorrected formation energy in eV per atom: -0.29
SG: Imma (74)
Total DFT energy (no corrections) in eV per atom: -3.1080


# 8
Computed, not measured: a relaxed structure of Zr2CdW at the PBE level of DFT.

Cell lengths 10.757, 10.757, 10.757 Å; angles 15.91, 15.91, 15.91 degrees
Positions (direct):
Zr 0.000 0.000 0.000
Zr 0.243 0.243 0.243
Cd 0.492 0.492 0.492
W 0.747 0.747 0.747

Output
DOS(E_F) in states/eV per atom: 1.426
SG: R3m (160)
Total DFT energy (no corrections) in eV per atom: -7.3887
DFT formation energy in eV/atom: 0.352


# 9
Computed, not measured: a relaxed structure of KRuSe3 at the PBE level of DFT.

Cell lengths 5.038, 5.038, 5.038 Å; angles 90.00, 90.00, 90.00 degrees
Positions (direct):
K 0.000 0.000 0.000
Ru 0.500 0.500 0.500
Se 0.000 0.500 0.500
Se 0.500 0.000 0.500
Se 0.500 0.500 0.000

Output
DOS(E_F) in states/eV per atom: 1.078
Uncorrected formation energy in eV per atom: -0.13
SG: Pm-3m (221)
Total DFT energy (no corrections) in eV per atom: -4.2921


# 10
Computed, not measured: a relaxed structure of Ca6HgPt2 at the PBE level of DFT.

Cell lengths 8.824, 8.824, 8.824 Å; angles 114.41, 111.41, 102.81 degrees
Positions (direct):
Ca 0.044 0.243 0.801
Ca 0.176 0.290 0.466
Ca 0.176 0.710 0.886
Ca 0.342 0.024 0.682
Ca 0.342 0.661 0.318
Ca 0.442 0.243 0.199
Ca 0.558 0.757 0.801
Ca 0.658 0.339 0.682
Ca 0.658 0.976 0.318
Ca 0.824 0.290 0.114
Ca 0.824 0.710 0.534
Ca 0.956 0.757 0.199
Hg 0.000 0.000 0.000
Hg 0.500 0.500 0.000
Pt 0.132 0.632 0.500
Pt 0.315 0.000 0.315
Pt 0.685 0.000 0.685
Pt 0.868 0.368 0.500

Output
DOS(E_F) in states/eV per atom: 0.656
SG: Immm (71)
Total DFT energy (no corrections) in eV per atom: -3.3439
DFT formation energy in eV/atom: -0.634


# 11
Computed, not measured: a relaxed structure of CoSi2Os at the PBE level of DFT.

Cell lengths 4.497, 4.497, 4.140 Å; angles 104.67, 104.67, 37.59 degrees
Positions (direct):
Co 0.000 0.000 0.000
Si 0.261 0.261 0.894
Si 0.508 0.508 0.532
Os 0.767 0.767 0.399

Output
DOS(E_F) in states/eV per atom: 0.532
Uncorrected formation energy in eV per atom: -0.39
SG: Cm (8)
Total DFT energy (no corrections) in eV per atom: -7.6836


# 12
Computed, not measured: a relaxed structure of Sm2Sc3Ge4 at the PBE level of DFT.

Cell lengths 7.548, 7.562, 7.310 Å; angles 90.00, 109.52, 90.00 degrees
Positions (direct):
Sm 0.194 0.175 0.067
Sm 0.194 0.325 0.567
Sm 0.806 0.675 0.433
Sm 0.806 0.825 0.933
Sc 0.250 0.670 0.247
Sc 0.250 0.830 0.747
Sc 0.500 0.000 0.500
Sc 0.500 0.500 0.000
Sc 0.750 0.170 0.253
Sc 0.750 0.330 0.753
Ge 0.083 0.542 0.855
Ge 0.083 0.958 0.355
Ge 0.495 0.131 0.864
Ge 0.495 0.369 0.364
Ge 0.505 0.631 0.636
Ge 0.505 0.869 0.136
Ge 0.917 0.042 0.645
Ge 0.917 0.458 0.145

Output
DOS(E_F) in states/eV per atom: 0.739
SG: P2_1/c (14)
Excess energy over the best structure of this formula in the dataset in meV per atom: 0
Total DFT energy (no corrections) in eV per atom: -6.1184
DFT formation energy in eV/atom: -0.907


Among the records above, which one has the highest DOS(E_F)?
Zr2CdW